Entry 1:
{
  "formula": "Re2BrO",
  "functional": "PBE",
  "state": "relaxed",
  "vol_a3_per_atom": 16.047,
  "polymorph_energy_mev_per_atom": 0,
  "density_g_cm3": 12.116,
  "lattice_angstrom": [[4.195, 0.000, 0.000], [0.000, 4.195, 0.000], [0.000, 0.000, 14.591]],
  "species": ["Re", "Re", "Re", "Re", "Re", "Re", "Re", "Re", "Br", "Br", "Br", "Br", "O", "O", "O", "O"],
  "fractional_positions": [[0.151, 0.250, 0.125], [0.250, 0.651, 0.375], [0.250, 0.849, 0.875], [0.349, 0.250, 0.625], [0.651, 0.750, 0.625], [0.750, 0.151, 0.875], [0.750, 0.349, 0.375], [0.849, 0.750, 0.125], [0.000, 0.000, 0.500], [0.000, 0.500, 0.750], [0.500, 0.000, 0.250], [0.500, 0.500, 0.000], [0.000, 0.000, 0.000], [0.000, 0.500, 0.250], [0.500, 0.000, 0.750], [0.500, 0.500, 0.500]]
}


Entry 2:
{
  "formula": "Re2BrO",
  "functional": "PBE",
  "state": "relaxed",
  "vol_a3_per_atom": 13.363,
  "polymorph_energy_mev_per_atom": 856,
  "density_g_cm3": 14.549,
  "lattice_angstrom": [[5.980, 0.000, 0.000], [0.000, 5.980, 0.000], [0.000, 0.000, 5.980]],
  "species": ["Re", "Re", "Re", "Re", "Re", "Re", "Re", "Re", "Br", "Br", "Br", "Br", "O", "O", "O", "O"],
  "fractional_positions": [[0.250, 0.250, 0.250], [0.250, 0.250, 0.750], [0.250, 0.750, 0.250], [0.250, 0.750, 0.750], [0.750, 0.250, 0.250], [0.750, 0.250, 0.750], [0.750, 0.750, 0.250], [0.750, 0.750, 0.750], [0.000, 0.000, 0.000], [0.000, 0.500, 0.500], [0.500, 0.000, 0.500], [0.500, 0.500, 0.000], [0.000, 0.000, 0.500], [0.000, 0.500, 0.000], [0.500, 0.000, 0.000], [0.500, 0.500, 0.500]]
}


Entry 3:
{
  "formula": "ReBr2O",
  "functional": "PBE",
  "state": "relaxed",
  "vol_a3_per_atom": 15.243,
  "density_g_cm3": 9.859,
  "total_energy_ev_per_cell": -65.8,
  "lattice_angstrom": [[6.248, 0.000, 0.000], [0.000, 6.248, 0.000], [0.000, 0.000, 6.248]],
  "species": ["Re", "Re", "Re", "Re", "Br", "Br", "Br", "Br", "Br", "Br", "Br", "Br", "O", "O", "O", "O"],
  "fractional_positions": [[0.000, 0.000, 0.000], [0.000, 0.500, 0.500], [0.500, 0.000, 0.500], [0.500, 0.500, 0.000], [0.250, 0.250, 0.250], [0.250, 0.250, 0.750], [0.250, 0.750, 0.250], [0.250, 0.750, 0.750], [0.750, 0.250, 0.250], [0.750, 0.250, 0.750], [0.750, 0.750, 0.250], [0.750, 0.750, 0.750], [0.000, 0.000, 0.500], [0.000, 0.500, 0.000], [0.500, 0.000, 0.000], [0.500, 0.500, 0.500]]
}


Entry 4:
{
  "formula": "ReBr2O",
  "functional": "PBE",
  "state": "relaxed",
  "vol_a3_per_atom": 17.780,
  "density_g_cm3": 8.452,
  "total_energy_ev_per_cell": -48.7,
  "lattice_angstrom": [[3.179, 0.000, 0.000], [-1.590, 2.753, 0.000], [0.000, 0.000, 24.375]],
  "species": ["Re", "Re", "Re", "Br", "Br", "Br", "Br", "Br", "Br", "O", "O", "O"],
  "fractional_positions": [[0.000, 0.000, 0.000], [0.333, 0.667, 0.667], [0.667, 0.333, 0.333], [0.000, 0.000, 0.096], [0.000, 0.000, 0.904], [0.333, 0.667, 0.571], [0.333, 0.667, 0.763], [0.667, 0.333, 0.237], [0.667, 0.333, 0.429], [0.000, 0.000, 0.500], [0.333, 0.667, 0.167], [0.667, 0.333, 0.833]]
}


Entry 5:
{
  "formula": "Re3Br9O2",
  "functional": "PBE",
  "state": "relaxed",
  "vol_a3_per_atom": 31.197,
  "density_g_cm3": 4.980,
  "total_energy_ev_per_cell": -128.1,
  "lattice_angstrom": [[8.440, -5.446, 0.000], [8.440, 5.446, 0.000], [-3.771, 0.000, 9.502]],
  "species": ["Re", "Re", "Re", "Re", "Re", "Re", "Br", "Br", "Br", "Br", "Br", "Br", "Br", "Br", "Br", "Br", "Br", "Br", "Br", "Br", "Br", "Br", "Br", "Br", "O", "O", "O", "O"],
  "fractional_positions": [[0.088, 0.303, 0.343], [0.298, 0.298, 0.118], [0.303, 0.088, 0.343], [0.697, 0.912, 0.657], [0.702, 0.702, 0.882], [0.912, 0.697, 0.657], [0.056, 0.477, 0.189], [0.105, 0.795, 0.806], [0.137, 0.137, 0.515], [0.148, 0.148, 0.943], [0.177, 0.484, 0.555], [0.205, 0.895, 0.194], [0.428, 0.428, 0.334], [0.477, 0.056, 0.189], [0.484, 0.177, 0.555], [0.516, 0.823, 0.445], [0.523, 0.944, 0.811], [0.572, 0.572, 0.666], [0.795, 0.105, 0.806], [0.823, 0.516, 0.445], [0.852, 0.852, 0.057], [0.863, 0.863, 0.485], [0.895, 0.205, 0.194], [0.944, 0.523, 0.811], [0.228, 0.772, 0.000], [0.346, 0.346, 0.001], [0.654, 0.654, 0.999], [0.772, 0.228, 0.000]]
}


Entry 6:
{
  "formula": "Re2BrO7",
  "functional": "PBE",
  "state": "relaxed",
  "vol_a3_per_atom": 23.865,
  "density_g_cm3": 3.926,
  "total_energy_ev_per_cell": -72.9,
  "lattice_angstrom": [[3.535, -8.928, 0.000], [3.535, 8.928, 0.000], [0.000, 0.000, 3.781]],
  "species": ["Re", "Re", "Br", "O", "O", "O", "O", "O", "O", "O"],
  "fractional_positions": [[0.108, 0.892, 0.000], [0.892, 0.108, 0.000], [0.500, 0.500, 0.500], [0.000, 0.000, 0.000], [0.036, 0.362, 0.000], [0.095, 0.905, 0.500], [0.362, 0.036, 0.000], [0.638, 0.964, 0.000], [0.905, 0.095, 0.500], [0.964, 0.638, 0.000]]
}